# 1
This record from Alexandria via LeMat-Bulk describes RbPa2Pd2S6 after structural relaxation. The functional is PBE.

## Properties
The formation energy without anion corrections is -1.15 eV per atom. The calculation puts the final energy at -0.2265 Ha/atom. The calculation puts the magnetization at 0.00 μB per atom.

Cell lengths 7.1669, 6.9426, 8.0070 Å; angles 120.90, 87.39, 62.81 degrees
Atoms (fractional coordinates):
Rb: 0.5000 0.0000 0.5000
Pa: 0.8324 0.3314 0.8276
Pa: 0.1676 0.6686 0.1724
Pd: 0.2278 0.7793 0.8287
Pd: 0.7722 0.2207 0.1713
S: 0.4214 0.8025 0.0633
S: 0.9644 0.4172 0.1482
S: 0.1781 0.8021 0.5493
S: 0.0356 0.5828 0.8518
S: 0.8219 0.1979 0.4507
S: 0.5786 0.1975 0.9367



# 2
This record from Alexandria via LeMat-Bulk describes NiAuBr2 after structural relaxation. The functional is PBE.

## Properties
The formation energy without anion corrections is 0.51 eV per atom. The calculation puts the final energy at -0.0951 Ha/atom. The calculation puts the excess energy over the best structure of this formula in the dataset at 521 meV per atom. The calculation puts the magnetization at 0.29 μB per atom.

Cell lengths 3.2786, 3.2786, 7.5951 Å; angles 90.00, 90.00, 90.00 degrees
Atoms (fractional coordinates):
Au: 0.5000 0.5000 0.7500
Br: 0.0000 0.0000 0.0397
Br: 0.0000 0.0000 0.4603
Ni: 0.5000 0.5000 0.2500



# 3
This record from Alexandria via LeMat-Bulk describes Ca2Ac3Pm after structural relaxation. The functional is PBE.

## Properties
The calculation puts the final energy at -0.1261 Ha/atom. The calculation puts the magnetization at 0.00 μB per atom.

Cell lengths 7.1650, 7.1650, 10.9864 Å; angles 91.24, 91.24, 116.61 degrees
Atoms (fractional coordinates):
Ca: 0.8233 0.5296 0.1069
Ca: 0.4704 0.1767 0.3931
Ca: 0.1767 0.4704 0.8931
Ca: 0.5296 0.8233 0.6069
Ac: 0.0675 0.2912 0.5555
Ac: 0.7088 0.9325 0.9445
Ac: 0.9325 0.7088 0.4445
Ac: 0.2912 0.0675 0.0555
Ac: 0.3774 0.6226 0.2500
Ac: 0.6226 0.3774 0.7500
Pm: 0.9043 0.0957 0.2500
Pm: 0.0957 0.9043 0.7500



# 4
This record from Alexandria via LeMat-Bulk describes DyAgSn after structural relaxation. The functional is PBE.

## Properties
The calculation puts the final energy at -0.1480 Ha/atom. The calculation puts the magnetization at 0.00 μB per atom.

Cell lengths 8.1539, 8.1539, 6.7976 Å; angles 109.37, 109.37, 116.55 degrees
Atoms (fractional coordinates):
Dy: 0.6250 0.3750 0.2500
Dy: 0.1250 0.3750 0.7500
Dy: 0.6250 0.3750 0.7500
Dy: 0.6250 0.8750 0.2500
Sn: 0.0762 0.9238 0.5000
Sn: 0.8262 0.1738 0.0000
Sn: 0.4238 0.5762 0.5000
Sn: 0.1738 0.8262 0.0000
Ag: 0.1171 0.6171 0.2343
Ag: 0.1329 0.1329 0.2657
Ag: 0.8671 0.8671 0.7343
Ag: 0.3829 0.8829 0.7657



# 5
This record from Alexandria via LeMat-Bulk describes YTaMnGe2 after structural relaxation. The functional is PBE.

## Properties
The calculation puts the final energy at -0.2861 Ha/atom. The calculation puts the magnetization at 0.34 μB per atom.

Cell lengths 3.9674, 3.9674, 6.4906 Å; angles 107.80, 107.80, 90.00 degrees
Atoms (fractional coordinates):
Y: 0.0000 0.0000 0.0000
Ta: 0.7500 0.2500 0.5000
Mn: 0.2500 0.7500 0.5000
Ge: 0.6084 0.6084 0.2168
Ge: 0.3916 0.3916 0.7832



# 6
This record from Alexandria via LeMat-Bulk describes Tm2Cu2Si3 after structural relaxation. The functional is PBE.

## Properties
The formation energy without anion corrections is -0.64 eV per atom. The calculation puts the final energy at -0.1990 Ha/atom. The calculation puts the magnetization at 0.00 μB per atom.

Cell lengths 4.1187, 6.5560, 8.9517 Å; angles 90.00, 103.30, 90.00 degrees
Atoms (fractional coordinates):
Tm: 0.1569 0.2500 0.3138
Tm: 0.8431 0.7500 0.6862
Tm: 0.9488 0.2500 0.8975
Tm: 0.0512 0.7500 0.1025
Cu: 0.6899 0.9411 0.3798
Cu: 0.3101 0.0589 0.6202
Cu: 0.3101 0.4411 0.6202
Cu: 0.6899 0.5589 0.3798
Si: 0.2222 0.7500 0.4443
Si: 0.7778 0.2500 0.5557
Si: 0.5620 0.4317 0.1241
Si: 0.4380 0.5683 0.8759
Si: 0.4380 0.9317 0.8759
Si: 0.5620 0.0683 0.1241



# 7
This record from Alexandria via LeMat-Bulk describes Cs4YI7 after structural relaxation. The functional is PBE.

## Properties
The formation energy without anion corrections is -1.49 eV per atom. The calculation puts the final energy at -0.1183 Ha/atom. The calculation puts the magnetization at 0.00 μB per atom.

Cell lengths 6.2247, 10.1914, 11.8619 Å; angles 72.86, 74.79, 72.22 degrees
Atoms (fractional coordinates):
Cs: 0.5702 0.6188 0.2407
Cs: 0.4298 0.3812 0.7593
Cs: 0.7239 0.8799 0.6722
Cs: 0.2761 0.1201 0.3278
Y: 0.0000 0.0000 0.0000
I: 0.8326 0.2984 0.0363
I: 0.1674 0.7016 0.9637
I: 0.0710 0.1239 0.7342
I: 0.9290 0.8761 0.2658
I: 0.3584 0.7391 0.5441
I: 0.5000 0.0000 0.0000
I: 0.6416 0.2609 0.4559



# 8
This record from Alexandria via LeMat-Bulk describes AgHg2Br after structural relaxation. The functional is PBE.

## Properties
The formation energy without anion corrections is -0.06 eV per atom. The calculation puts the final energy at -0.0493 Ha/atom. The calculation puts the excess energy over the best structure of this formula in the dataset at 84 meV per atom. The calculation puts the magnetization at 0.00 μB per atom.

Cell lengths 4.1315, 4.1349, 6.3376 Å; angles 90.00, 90.00, 90.00 degrees
Atoms (fractional coordinates):
Br: 0.0000 0.5000 0.5000
Hg: 0.0000 0.0000 0.0000
Hg: 0.5000 0.5000 0.0000
Ag: 0.5000 0.0000 0.5000



# 9
This record from Alexandria via LeMat-Bulk describes BaZn2Si after structural relaxation. The functional is PBE.

## Properties
The formation energy without anion corrections is -0.10 eV per atom. The calculation puts the final energy at -0.0947 Ha/atom. The calculation puts the magnetization at 0.00 μB per atom.

Cell lengths 4.2287, 4.3023, 5.8412 Å; angles 77.68, 90.00, 90.00 degrees
Atoms (fractional coordinates):
Ba: 0.0000 0.4741 0.5341
Si: 0.5000 0.8177 0.8535
Zn: 0.0000 0.9488 0.0238
Zn: 0.5000 0.2594 0.0886



# 10
This record from Alexandria via LeMat-Bulk describes CrOs2W after structural relaxation. The functional is PBE.

## Properties
The calculation puts the final energy at -0.4049 Ha/atom. The calculation puts the excess energy over the best structure of this formula in the dataset at 150 meV per atom. The calculation puts the magnetization at 0.00 μB per atom.

Cell lengths 9.0576, 9.0576, 9.0576 Å; angles 17.35, 17.35, 17.35 degrees
Atoms (fractional coordinates):
Cr: 0.7469 0.7469 0.7469
Os: 0.0047 0.0047 0.0047
Os: 0.2495 0.2495 0.2495
W: 0.4990 0.4990 0.4990



# 11
This record from Alexandria via LeMat-Bulk describes PrDyAgRh after structural relaxation. The functional is PBE.

## Properties
The calculation puts the final energy at -0.1975 Ha/atom. The calculation puts the magnetization at 0.00 μB per atom.

Cell lengths 5.0902, 5.0902, 5.0902 Å; angles 60.00, 60.00, 60.00 degrees
Atoms (fractional coordinates):
Pr: 0.2500 0.2500 0.2500
Rh: 0.5000 0.5000 0.5000
Ag: 0.0000 0.0000 0.0000
Dy: 0.7500 0.7500 0.7500



# 12
This record from Alexandria via LeMat-Bulk describes NpU4 after structural relaxation. The functional is PBE.

## Properties
The calculation puts the final energy at -0.4098 Ha/atom. The calculation puts the magnetization at 0.66 μB per atom.

Cell lengths 4.9273, 4.9273, 4.9273 Å; angles 90.00, 90.00, 90.00 degrees
Atoms (fractional coordinates):
Np: 0.5000 0.5000 0.5000
U: 0.0000 0.0000 0.0000
U: 0.5000 0.0000 0.5000
U: 0.0000 0.5000 0.5000
U: 0.5000 0.5000 0.0000



# 13
This record from Alexandria via LeMat-Bulk describes BaCdBr2 after structural relaxation. The functional is PBE.

## Properties
The formation energy without anion corrections is -1.15 eV per atom. The calculation puts the final energy at -0.0990 Ha/atom. The calculation puts the excess energy over the best structure of this formula in the dataset at 286 meV per atom. The calculation puts the magnetization at 0.00 μB per atom.

Cell lengths 5.7505, 5.7505, 5.7505 Å; angles 60.00, 60.00, 60.00 degrees
Atoms (fractional coordinates):
Ba: 0.5000 0.5000 0.5000
Br: 0.0000 0.0000 0.0000
Br: 0.2500 0.2500 0.2500
Cd: 0.7500 0.7500 0.7500



# 14
This record from Alexandria via LeMat-Bulk describes Eu2HoCu after structural relaxation. The functional is PBE.

## Properties
The calculation puts the final energy at -0.2580 Ha/atom. The calculation puts the excess energy over the best structure of this formula in the dataset at 250 meV per atom. The calculation puts the magnetization at 3.82 μB per atom.

Cell lengths 3.6343, 3.6343, 11.3325 Å; angles 80.77, 80.77, 60.00 degrees
Atoms (fractional coordinates):
Eu: 0.1033 0.1033 0.6902
Eu: 0.8967 0.8967 0.3098
Ho: 0.0000 0.0000 0.0000
Cu: 0.5000 0.5000 0.5000



# 15
This record from Alexandria via LeMat-Bulk describes KNaTc2O8 after structural relaxation. The functional is PBE.

## Properties
The formation energy without anion corrections is -1.65 eV per atom. The calculation puts the final energy at -0.2530 Ha/atom. The calculation puts the magnetization at 0.00 μB per atom.

Cell lengths 6.0336, 6.0336, 7.5777 Å; angles 90.00, 90.00, 120.00 degrees
Atoms (fractional coordinates):
K: 0.0000 0.0000 0.5000
Na: 0.0000 0.0000 0.0000
Tc: 0.6667 0.3333 0.2789
Tc: 0.3333 0.6667 0.7211
O: 0.8246 0.1754 0.2046
O: 0.8246 0.6492 0.2046
O: 0.3508 0.1754 0.2046
O: 0.6492 0.8246 0.7954
O: 0.3333 0.6667 0.4923
O: 0.6667 0.3333 0.5077
O: 0.1754 0.8246 0.7954
O: 0.1754 0.3508 0.7954



# 16
This record from Alexandria via LeMat-Bulk describes Sr2MgGaAg6 after structural relaxation. The functional is PBE.

## Properties
The calculation puts the final energy at -0.0982 Ha/atom. The calculation puts the magnetization at 0.00 μB per atom.

Cell lengths 9.0884, 5.8050, 7.1248 Å; angles 65.97, 51.62, 90.00 degrees
Atoms (fractional coordinates):
Sr: 0.2847 0.7448 0.5100
Sr: 0.7153 0.2552 0.4900
Mg: 0.5000 0.5000 0.0000
Ga: 0.0000 0.0000 0.0000
Ag: 0.2361 0.7416 0.0185
Ag: 0.7639 0.7602 0.9817
Ag: 0.0954 0.2502 0.4992
Ag: 0.7639 0.2584 0.9815
Ag: 0.2361 0.2398 0.0183
Ag: 0.9046 0.7498 0.5008



# 17
This record from Alexandria via LeMat-Bulk describes TlC5 after structural relaxation. The functional is PBE.

## Properties
The calculation puts the final energy at -0.1603 Ha/atom. The calculation puts the excess energy over the best structure of this formula in the dataset at 2731 meV per atom. The calculation puts the magnetization at 0.04 μB per atom.

Cell lengths 3.6838, 3.6838, 7.1385 Å; angles 90.00, 90.00, 120.00 degrees
Atoms (fractional coordinates):
Tl: 0.0000 0.0000 0.5000
C: 0.5000 0.0000 0.0000
C: 0.5000 0.5000 0.0000
C: 0.0000 0.5000 0.0000
C: 0.6667 0.3333 0.5000
C: 0.3333 0.6667 0.5000



# 18
This record from Alexandria via LeMat-Bulk describes TlIr after structural relaxation. The functional is PBE.

## Properties
The calculation puts the final energy at -0.1873 Ha/atom. The calculation puts the magnetization at 0.00 μB per atom.

Cell lengths 5.6047, 5.6047, 7.2597 Å; angles 90.66, 90.66, 31.06 degrees
Atoms (fractional coordinates):
Tl: 0.2322 0.2322 0.3600
Tl: 0.9728 0.9728 0.5890
Tl: 0.3428 0.3428 0.9627
Ir: 0.0728 0.0728 0.9582
Ir: 0.7043 0.7043 0.7099
Ir: 0.5084 0.5084 0.2535



# 19
This record from Alexandria via LeMat-Bulk describes Ac2La2PrTm after structural relaxation. The functional is PBE.

## Properties
The calculation puts the final energy at -0.1624 Ha/atom. The calculation puts the magnetization at 0.00 μB per atom.

Cell lengths 7.2964, 6.7414, 9.3890 Å; angles 91.67, 90.00, 90.00 degrees
Atoms (fractional coordinates):
Ac: 0.5020 0.1679 0.1717
Ac: 0.9980 0.1679 0.1717
Ac: 0.0020 0.8321 0.8283
Ac: 0.4980 0.8321 0.8283
La: 0.2500 0.0995 0.5171
La: 0.2500 0.6040 0.5036
La: 0.7500 0.9005 0.4829
La: 0.7500 0.3960 0.4964
Pr: 0.7500 0.3334 0.8452
Pr: 0.2500 0.6666 0.1548
Tm: 0.2500 0.3455 0.8531
Tm: 0.7500 0.6545 0.1469



# 20
This record from Alexandria via LeMat-Bulk describes BeBiOs2Au after structural relaxation. The functional is PBE.

## Properties
The calculation puts the final energy at -0.1456 Ha/atom. The calculation puts the magnetization at 0.29 μB per atom.

Cell lengths 5.0050, 5.1693, 5.0050 Å; angles 90.00, 90.00, 90.00 degrees
Atoms (fractional coordinates):
Os: 0.0000 0.0000 0.5000
Os: 0.5000 0.0000 0.0000
Au: 0.0000 0.5000 0.0000
Bi: 0.0000 0.0000 0.0000
Be: 0.5000 0.5000 0.5000



# 21
This record from Alexandria via LeMat-Bulk describes Mn2TlAu after structural relaxation. The functional is PBE.

## Properties
The calculation puts the final energy at -0.2086 Ha/atom. The calculation puts the excess energy over the best structure of this formula in the dataset at 69 meV per atom. The calculation puts the magnetization at 1.91 μB per atom.

Cell lengths 5.3105, 5.3105, 5.3105 Å; angles 135.72, 135.72, 64.41 degrees
Atoms (fractional coordinates):
Au: 0.7500 0.2500 0.5000
Mn: 0.0000 0.0000 0.0000
Mn: 0.2500 0.7500 0.5000
Tl: 0.5000 0.5000 0.0000



# 22
This record from Alexandria via LeMat-Bulk describes Cr2SbAs after structural relaxation. The functional is PBE.

## Properties
The formation energy without anion corrections is 0.29 eV per atom. The calculation puts the final energy at -0.2466 Ha/atom. The calculation puts the magnetization at 1.73 μB per atom.

Cell lengths 5.5067, 5.5067, 5.5067 Å; angles 138.63, 138.63, 59.93 degrees
Atoms (fractional coordinates):
As: 0.7500 0.2500 0.5000
Cr: 0.0000 0.0000 0.0000
Cr: 0.2500 0.7500 0.5000
Sb: 0.5000 0.5000 0.0000



# 23
This record from Alexandria via LeMat-Bulk describes BeRuSe2 after structural relaxation. The functional is PBE.

## Properties
The formation energy without anion corrections is -0.14 eV per atom. The calculation puts the final energy at -0.1887 Ha/atom. The calculation puts the magnetization at 0.00 μB per atom.

Cell lengths 5.5034, 5.5034, 6.3493 Å; angles 64.32, 64.32, 90.00 degrees
Atoms (fractional coordinates):
Ru: 0.0000 0.0000 0.0000
Ru: 0.7500 0.2500 0.5000
Se: 0.5947 0.1250 0.2500
Se: 0.1553 0.6250 0.2500
Se: 0.3750 0.4053 0.7500
Se: 0.8750 0.8447 0.7500
Be: 0.5000 0.5000 0.0000
Be: 0.2500 0.7500 0.5000



# 24
This record from Alexandria via LeMat-Bulk describes LiCu2P after structural relaxation. The functional is PBE.

## Properties
The calculation puts the final energy at -0.1472 Ha/atom. The calculation puts the magnetization at 0.00 μB per atom.

Cell lengths 4.3107, 4.3107, 4.5022 Å; angles 82.18, 82.18, 36.51 degrees
Atoms (fractional coordinates):
Cu: 0.9928 0.9928 0.0043
Cu: 0.5072 0.5072 0.4957
Li: 0.7500 0.7500 0.7500
P: 0.2500 0.2500 0.2500



# 25
This record from Alexandria via LeMat-Bulk describes SrHg2Rh after structural relaxation. The functional is PBE.

## Properties
The calculation puts the final energy at -0.0933 Ha/atom. The calculation puts the magnetization at 0.00 μB per atom.

Cell lengths 3.6280, 3.6784, 7.2221 Å; angles 90.00, 90.00, 90.00 degrees
Atoms (fractional coordinates):
Hg: 0.0000 0.0000 0.0380
Hg: 0.5000 0.5000 0.2881
Rh: 0.0000 0.0000 0.4486
Sr: 0.5000 0.5000 0.7252



# 26
This record from Alexandria via LeMat-Bulk describes GaMo2Os after structural relaxation. The functional is PBE.

## Properties
The calculation puts the final energy at -0.3180 Ha/atom. The calculation puts the magnetization at 0.00 μB per atom.

Cell lengths 2.7967, 2.7967, 9.8061 Å; angles 81.80, 81.80, 60.00 degrees
Atoms (fractional coordinates):
Mo: 0.0907 0.0907 0.7280
Mo: 0.9093 0.9093 0.2720
Os: 0.5000 0.5000 0.5000
Ga: 0.0000 0.0000 0.0000